Computed, not measured: TaCuAg2 after structural relaxation at the PBE-GGA level of DFT.

```
data_TaCuAg2
_chemical_formula_sum 'Ta3 Cu3 Ag6'
_cell_length_a 2.8779
_cell_length_b 2.8779
_cell_length_c 27.8426
_cell_angle_alpha 90.00
_cell_angle_beta 90.00
_cell_angle_gamma 120.00
_space_group_name_H-M_alt 'R -3 m'
_space_group_IT_number 166
_space_group_name_Hall '-R 3 2"'
loop_
_atom_site_label
_atom_site_fract_x
_atom_site_fract_y
_atom_site_fract_z
_atom_site_occupancy
Ta1 0.0000 0.0000 0.0000 1
Cu1 0.0000 0.0000 0.5000 1
Ag1 0.0000 0.0000 0.2443 1
```

## Properties
The calculation puts the formation energy at 0.255 eV per atom. The crystal system is trigonal. Its calculated volume is 199.7 Å³ per cell.

***

Computed, not measured: NaSmEu after structural relaxation at the PBE-GGA level of DFT.

```
data_NaSmEu
_chemical_formula_sum 'Na1 Sm1 Eu1'
_cell_length_a 3.6934
_cell_length_b 3.6934
_cell_length_c 9.4421
_cell_angle_alpha 90.00
_cell_angle_beta 90.00
_cell_angle_gamma 120.00
_space_group_name_H-M_alt 'P 3 m 1'
_space_group_IT_number 156
loop_
_space_group_symop_operation_xyz
'x,y,z'
'-y,x-y,z'
'-x+y,-x,z'
'-y,-x,z'
'-x+y,y,z'
'x,x-y,z'
loop_
_atom_site_label
_atom_site_fract_x
_atom_site_fract_y
_atom_site_fract_z
_atom_site_occupancy
Na1 0.0000 0.0000 0.0000 1
Sm1 0.3333 0.6667 0.6678 1
Eu1 0.6667 0.3333 0.3509 1
```

## Properties
The calculation puts the formation energy at 0.134 eV per atom. The crystal system is trigonal. Its calculated volume is 111.5 Å³ per cell.

***

Computed, not measured: LaGaNiN after structural relaxation at the PBE-GGA level of DFT.

```
data_LaGaNiN
_chemical_formula_sum 'La2 Ga2 Ni2 N2'
_cell_length_a 3.7978
_cell_length_b 3.7978
_cell_length_c 9.0834
_cell_angle_alpha 90.00
_cell_angle_beta 90.00
_cell_angle_gamma 90.00
_space_group_name_H-M_alt 'P 4/n m m'
_space_group_IT_number 129
loop_
_space_group_symop_operation_xyz
'x,y,z'
'-x,-y,-z'
'-y+1/2,x,z'
'y+1/2,-x,-z'
'-x+1/2,-y+1/2,z'
'x+1/2,y+1/2,-z'
'y,-x+1/2,z'
'-y,x+1/2,-z'
'x+1/2,-y,-z'
'-x+1/2,y,z'
'-y,-x,-z'
'y,x,z'
'-x,y+1/2,-z'
'x,-y+1/2,z'
'y+1/2,x+1/2,-z'
'-y+1/2,-x+1/2,z'
loop_
_atom_site_label
_atom_site_fract_x
_atom_site_fract_y
_atom_site_fract_z
_atom_site_occupancy
La1 0.2500 0.2500 0.1442 1
Ga1 0.2500 0.2500 0.6592 1
Ni1 0.2500 0.7500 0.5000 1
N1 0.2500 0.2500 0.8787 1
```

## Properties
The crystal system is tetragonal. Its calculated volume is 131.0 Å³ per cell. As for the energy relative to the elements, uncorrected: -0.82 eV/atom.

***

Computed, not measured: NaLi2Ni after structural relaxation at the PBE-GGA level of DFT.

```
data_NaLi2Ni
_chemical_formula_sum 'Na3 Li6 Ni3'
_cell_length_a 2.8395
_cell_length_b 2.8395
_cell_length_c 29.9158
_cell_angle_alpha 90.00
_cell_angle_beta 90.00
_cell_angle_gamma 120.00
_space_group_name_H-M_alt 'R -3 m'
_space_group_IT_number 166
_space_group_name_Hall '-R 3 2"'
loop_
_atom_site_label
_atom_site_fract_x
_atom_site_fract_y
_atom_site_fract_z
_atom_site_occupancy
Na1 0.0000 0.0000 0.0000 1
Li1 0.0000 0.0000 0.1023 1
Ni1 0.0000 0.0000 0.5000 1
```

## Properties
The calculation puts the formation energy at 0.209 eV per atom. The crystal system is trigonal. Its calculated volume is 208.9 Å³ per cell.